Below is crystalline MgNbAg at its relaxed geometry, with properties calculated at the PBE level.

The space group is Cm (No. 8) and the conventional cell measures 13.884, 3.291 and 5.004 Å, with angles of 90.00, 94.06 and 90.00 degrees. The inequivalent atoms are Mg at (0.000, 0.000, 0.000), Mg at (0.171, 0.000, 0.554), Nb at (0.349, 0.500, 0.473), Nb at (0.492, 0.000, 0.498), Ag at (0.167, 0.500, 0.055) and Ag at (0.337, 0.000, 0.969).

The calculation puts the total DFT energy (no corrections) at -4.665 eV per atom. For the density of states at the Fermi level, the calculation gives 7.47 states/eV/cell.

Below is crystalline LiU2PaN4 at its relaxed geometry, with properties calculated at the PBE level.

The space group is P2/m (No. 10) and the conventional cell measures 5.862, 3.457 and 5.871 Å, with angles of 90.00, 108.63 and 90.00 degrees. The inequivalent atoms are Li at (0.000, 0.000, 0.000), U at (0.000, 0.500, 0.500), U at (0.500, 0.000, 0.500), Pa at (0.500, 0.500, 0.000), N at (0.242, 0.000, 0.750) and N at (0.272, 0.500, 0.278).

The uncorrected formation energy comes out at -1.18 eV/atom. For the density of states at the Fermi level, the calculation gives 11.34 states/eV/cell.